Arrangement one

Zr4Fe | PBE | relaxed

Volume in Å³ per cell: 102
Magnetization in μB per cell: 0.295

a = 3.2774 Å, b = 5.8050 Å, c = 5.8050 Å
α = 94.57°, β = 106.40°, γ = 73.60°
Site moments in Bohr magnetons follow the coordinates.
Fractional coordinates of all 5 atoms:
Fe1 0.0000 0.0000 0.0000  0.63
Zr1 0.7716 0.8102 0.3533  -0.06
Zr2 0.2284 0.1898 0.6467  -0.06
Zr3 0.4182 0.3533 0.1898  -0.06
Zr4 0.5818 0.6467 0.8102  -0.06

***

Arrangement two

Zr4Fe | PBE | relaxed

Volume in Å³ per cell: 115
Magnetization in μB per cell: 3.043

a = 7.9311 Å, b = 7.9311 Å, c = 7.9311 Å
α = 151.23°, β = 151.23°, γ = 41.13°
Site moments in Bohr magnetons follow the coordinates.
Fractional coordinates of all 5 atoms:
Zr1 0.4117 0.4117 0.0000  -0.10
Fe1 0.0000 0.0000 0.0000  2.88
Zr2 0.2500 0.7500 0.5000  0.15
Zr3 0.5883 0.5883 0.0000  -0.10
Zr4 0.7500 0.2500 0.5000  0.15

***

Tell me which of them is the most stable. Sure, it is arrangement one.

***

Arrangement one

ZrFe4 | PBE | relaxed

Volume in Å³ per cell: 92
Magnetization in μB per cell: 8.596

a = 4.5120 Å, b = 4.5120 Å, c = 4.5120 Å
α = 90.00°, β = 90.00°, γ = 90.00°
Site moments in Bohr magnetons follow the coordinates.
Fractional coordinates of all 5 atoms:
Fe1 0.0000 0.0000 0.0000  3.19
Fe2 0.5000 0.0000 0.5000  2.03
Fe3 0.5000 0.5000 0.0000  2.03
Zr1 0.5000 0.5000 0.5000  -0.49
Fe4 0.0000 0.5000 0.5000  2.03

***

Arrangement two

ZrFe4 | PBE | relaxed

Volume in Å³ per cell: 68
Magnetization in μB per cell: 4.769

a = 5.3899 Å, b = 5.3899 Å, c = 5.3899 Å
α = 138.42°, β = 138.42°, γ = 60.25°
Site moments in Bohr magnetons follow the coordinates.
Fractional coordinates of all 5 atoms:
Fe1 0.6149 0.6149 0.0000  0.72
Fe2 0.3851 0.3851 0.0000  0.72
Zr1 0.0000 0.0000 0.0000  -0.19
Fe3 0.7500 0.2500 0.5000  1.80
Fe4 0.2500 0.7500 0.5000  1.80

***

Tell me which of them is the most stable. Sure, it is arrangement two.